[1]
Compound: Cu3Ag2
Source: the Open Quantum Materials Database
Functional: PBE
Structure: optimized geometry

- energy of formation from the pure elements (eV per atom) = 0.08
- electronic total energy (eV per atom) = -3.280
- volume (Å³/cell) = 142.2

a b c (Å): 2.7497 3.6933 13.9998
angles (deg): 90.00 90.00 90.00
Last column: nearest neighbours and their distance in Å.
Atoms (fractional coordinates):
Cu 0.0000 0.0000 0.0000  12 Cu 2.47-2.75
Cu 0.0000 0.0000 0.1763  7 Cu 2.47-2.75, 4 Ag 2.71
Cu 0.0000 0.0000 0.6194  8 Ag 2.71, 3 Cu 2.75-2.85
Cu 0.0000 0.0000 0.8232  7 Cu 2.47-2.75, 4 Ag 2.71
Cu 0.5000 0.5000 0.0882  11 Cu 2.47-2.75, 1 Ag 2.66
Cu 0.5000 0.5000 0.9119  11 Cu 2.47-2.75, 1 Ag 2.66
Ag 0.0000 0.0000 0.3982  10 Ag 2.75-2.85
Ag 0.5000 0.5000 0.2780  5 Cu 2.66-2.71, 6 Ag 2.75-2.85
Ag 0.5000 0.5000 0.5175  4 Cu 2.71, 7 Ag 2.75-2.86
Ag 0.5000 0.5000 0.7216  9 Cu 2.66-2.71, 3 Ag 2.75-2.86


[2]
Compound: Cu3Ag2
Source: the Open Quantum Materials Database
Functional: PBE
Structure: optimized geometry

- energy of formation from the pure elements (eV per atom) = 0.09
- electronic total energy (eV per atom) = -3.271
- volume (Å³/cell) = 143.2

a b c (Å): 6.0589 3.8320 6.1670
angles (deg): 90.00 91.12 90.00
Last column: nearest neighbours and their distance in Å.
Atoms (fractional coordinates):
Cu 0.0000 0.0000 0.0000  7 Cu 2.52-2.73, 4 Ag 2.76-2.81
Cu 0.0815 0.5000 0.7159  9 Cu 2.54-2.74, 3 Ag 2.66-2.70
Cu 0.1721 0.0000 0.4123  7 Cu 2.61-2.84, 5 Ag 2.61-2.75
Cu 0.2685 0.5000 0.0875  7 Cu 2.54-2.84, 5 Ag 2.68-2.82
Cu 0.3595 0.0000 0.8022  6 Cu 2.52-2.67, 5 Ag 2.72-2.81
Cu 0.7979 0.0000 0.6144  5 Cu 2.61-2.92, 7 Ag 2.68-2.89
Ag 0.4620 0.5000 0.5077  8 Cu 2.66-2.86, 4 Ag 2.74-2.91
Ag 0.5662 0.0000 0.1996  6 Cu 2.71-2.92, 6 Ag 2.78-2.85
Ag 0.6868 0.5000 0.8967  8 Cu 2.66-2.82, 4 Ag 2.74-2.85
Ag 0.8955 0.5000 0.3144  8 Cu 2.61-2.81, 4 Ag 2.85-2.91